1.
First-principles (GGA-PBE) data for crystalline Co2MoRu at its relaxed geometry, as listed in the Alexandria database.

- formation energy from the elements (eV/atom) = 0.194
- energy relative to the lowest polymorph listed for this composition (eV per atom) = 0.184
- spin magnetization (Bohr magnetons per cell) = 3.3
- DFT total energy (eV per cell) = -33.5

Unit cell a=8.6764 b=8.6764 c=8.6764 alpha=17.73 beta=17.73 gamma=17.73
Closest atoms and distances in Å follow each position.
Fractional positions:
1 Co 0.0000 0.0000 0.0000  9 Co 2.45-2.67, 3 Ru 2.66
2 Co 0.2589 0.2589 0.2589  9 Co 2.45-2.67, 3 Mo 2.72
3 Mo 0.5049 0.5049 0.5049  6 Mo 2.67, 3 Ru 2.71, 3 Co 2.72
4 Ru 0.7514 0.7514 0.7514  3 Co 2.66, 6 Ru 2.67, 3 Mo 2.71

=====

2.
First-principles (GGA-PBE) data for crystalline In2SiGe2 at its relaxed geometry, as listed in the Alexandria database.

- spin magnetization (Bohr magnetons per cell) = 0.0
- DFT total energy (eV per cell) = -37.4
- raw formation energy (eV/atom) = 0.2844

Unit cell a=6.4644 b=6.4644 c=5.5345 alpha=90.00 beta=90.00 gamma=90.00
Closest atoms and distances in Å follow each position.
Fractional positions:
1 In 0.1946 0.3054 0.0000  6 Ge 3.16-3.52, 4 In 3.31
2 In 0.3054 0.8054 0.0000  6 Ge 3.16-3.52, 4 In 3.31
3 In 0.6946 0.1946 0.0000  6 Ge 3.16-3.52, 4 In 3.31
4 In 0.8054 0.6946 0.0000  6 Ge 3.16-3.52, 4 In 3.31
5 Si 0.0000 0.0000 0.5000  4 Ge 2.50
6 Si 0.5000 0.5000 0.5000  4 Ge 2.50
7 Ge 0.1382 0.6382 0.5000  2 Si 2.50, 1 Ge 2.53
8 Ge 0.3618 0.1382 0.5000  2 Si 2.50, 1 Ge 2.53
9 Ge 0.6382 0.8618 0.5000  2 Si 2.50, 1 Ge 2.53
10 Ge 0.8618 0.3618 0.5000  2 Si 2.50, 1 Ge 2.53

=====

3.
First-principles (GGA-PBE) data for crystalline Pm3InB2Pt9 at its relaxed geometry, as listed in the Alexandria database.

- formation energy from the elements (eV/atom) = -0.789
- spin magnetization (Bohr magnetons per cell) = 0.0
- DFT total energy (eV per cell) = -96.5

Unit cell a=5.8207 b=5.8207 c=9.5211 alpha=90.00 beta=90.00 gamma=120.00
Closest atoms and distances in Å follow each position.
Fractional positions:
1 Pm 0.0000 0.0000 0.0000  12 Pt 2.91-3.12
2 Pm 0.3333 0.6667 0.6246  6 Pt 3.06
3 Pm 0.6667 0.3333 0.3754  6 Pt 3.06
4 In 0.0000 0.0000 0.5000  6 Pt 2.71
5 B 0.3333 0.6667 0.1438  6 Pt 2.11-2.17
6 B 0.6667 0.3333 0.8562  6 Pt 2.11-2.17
7 Pt 0.0000 0.5000 0.0000  2 B 2.17
8 Pt 0.1663 0.3327 0.2767  1 B 2.11
9 Pt 0.1663 0.8337 0.2767  1 B 2.11
10 Pt 0.3327 0.1663 0.7233  1 B 2.11
11 Pt 0.5000 0.0000 0.0000  2 B 2.17
12 Pt 0.5000 0.5000 0.0000  2 B 2.17
13 Pt 0.6673 0.8337 0.2767  1 B 2.11
14 Pt 0.8337 0.1663 0.7233  1 B 2.11
15 Pt 0.8337 0.6673 0.7233  1 B 2.11

=====

| no. | N(E_F) (states/eV/f.u.) |
| --- | --- |
| 1 | 4.5 |
| 2 | 2.2 |
| 3 | 3.7 |